(P)
Below is Al3CdGa after structural relaxation, with properties calculated at the PBE level.

Cell: 5.089 5.089 5.089 Å, 90.00 90.00 90.00°
Space group Pm-3m (No. 221)
One atom of each set of equivalent atoms:
Al 0.000 0.000 0.500 [3 per cell]
Cd 0.000 0.000 0.000 [1 per cell]
Ga 0.500 0.500 0.500 [1 per cell]

Calculated values
* total moment: 0.00 Bohr magnetons per cell



(Q)
Below is Al3CdGa after structural relaxation, with properties calculated at the PBE level.

Cell: 4.920 4.920 4.920 Å, 90.00 90.00 90.00°
Space group Pm-3m (No. 221)
One atom of each set of equivalent atoms:
Al 0.000 0.000 0.500 [3 per cell]
Cd 0.500 0.500 0.500 [1 per cell]
Ga 0.000 0.000 0.000 [1 per cell]

Calculated values
* total moment: 0.00 Bohr magnetons per cell



Need the numbers? Relative energies in kJ/mol of atoms: (P) 24.1; (Q) 0.0.



(P)
Below is AlCdGa2 after structural relaxation, with properties calculated at the PBE level.

Cell: 2.936 2.936 8.992 Å, 90.00 90.00 90.00°
Space group P4/mmm (No. 123)
One atom of each set of equivalent atoms:
Al 0.000 0.000 0.000 [1 per cell]
Cd 0.000 0.000 0.500 [1 per cell]
Ga 0.500 0.500 0.235 [2 per cell]

Calculated values
* total moment: 0.00 Bohr magnetons per cell



(Q)
Below is AlCdGa2 after structural relaxation, with properties calculated at the PBE level.

Cell: 4.4158 4.4158 15.0679 Å, 90.00 90.00 120.00°
Space group R3m (No. 160, hexagonal axes)
One atom of each set of equivalent atoms:
Al 0.0000 0.0000 0.0000 [3 per cell]
Cd 0.0000 0.0000 0.8107 [3 per cell]
Ga 0.0000 0.0000 0.3840 [3 per cell]
Ga 0.0000 0.0000 0.5840 [3 per cell]

Calculated values
* total moment: 0.00 Bohr magnetons per cell



(R)
Below is AlCdGa2 after structural relaxation, with properties calculated at the PBE level.

Cell: 4.402 4.402 17.314 Å, 90.00 90.00 90.00°
Space group I-42d (No. 122)
One atom of each set of equivalent atoms:
Al 0.000 0.000 0.000 [4 per cell]
Cd 0.000 0.000 0.500 [4 per cell]
Ga 0.225 0.250 0.125 [8 per cell]

Calculated values
* total moment: 0.00 Bohr magnetons per cell



Need the numbers? Relative energies in kJ/mol of atoms: (P) 0.0; (Q) 3.6; (R) 8.0.



(P)
Below is GdAl2Cd after structural relaxation, with properties calculated at the PBE level.

Cell: 4.437 4.437 4.337 Å, 90.00 90.00 90.00°
Space group P4/mmm (No. 123)
One atom of each set of equivalent atoms:
Gd 0.000 0.000 0.000 [1 per cell]
Al 0.000 0.500 0.500 [2 per cell]
Cd 0.500 0.500 0.000 [1 per cell]

Calculated values
* total moment: 7.14 Bohr magnetons per cell



(Q)
Below is GdAl2Cd after structural relaxation, with properties calculated at the PBE level.

Cell: 7.002 7.002 7.002 Å, 90.00 90.00 90.00°
Space group Fm-3m (No. 225)
One atom of each set of equivalent atoms:
Gd 0.000 0.000 0.000 [4 per cell]
Al 0.250 0.250 0.250 [8 per cell]
Cd 0.000 0.000 0.500 [4 per cell]

Calculated values
* total moment: 28.31 Bohr magnetons per cell



Need the numbers? Relative energies in kJ/mol of atoms: (P) 0.0; (Q) 17.9.



(P)
Below is AlCd2Ge after structural relaxation, with properties calculated at the PBE level.

Cell: 4.070 4.070 20.865 Å, 90.00 90.00 90.00°
Space group I-42d (No. 122)
One atom of each set of equivalent atoms:
Al 0.000 0.000 0.000 [4 per cell]
Cd 0.248 0.250 0.125 [8 per cell]
Ge 0.000 0.000 0.500 [4 per cell]

Calculated values
* total moment: 0.00 Bohr magnetons per cell



(Q)
Below is AlCd2Ge after structural relaxation, with properties calculated at the PBE level.

Cell: 6.984 6.984 6.984 Å, 90.00 90.00 90.00°
Space group Fm-3m (No. 225)
One atom of each set of equivalent atoms:
Al 0.000 0.000 0.000 [4 per cell]
Cd 0.250 0.250 0.250 [8 per cell]
Ge 0.000 0.000 0.500 [4 per cell]

Calculated values
* total moment: 0.00 Bohr magnetons per cell



Need the numbers? Relative energies in kJ/mol of atoms: (P) 0.0; (Q) 3.8.



(P)
Below is Al3CdH after structural relaxation, with properties calculated at the PBE level.

Cell: 5.118 5.118 5.118 Å, 90.00 90.00 90.00°
Space group Pm-3m (No. 221)
One atom of each set of equivalent atoms:
Al 0.000 0.000 0.500 [3 per cell]
Cd 0.000 0.000 0.000 [1 per cell]
H 0.500 0.500 0.500 [1 per cell]

Calculated values
* total moment: 0.00 Bohr magnetons per cell



(Q)
Below is Al3CdH after structural relaxation, with properties calculated at the PBE level.

Cell: 4.253 4.253 4.253 Å, 90.00 90.00 90.00°
Space group Pm-3m (No. 221)
One atom of each set of equivalent atoms:
Al 0.000 0.000 0.500 [3 per cell]
Cd 0.500 0.500 0.500 [1 per cell]
H 0.000 0.000 0.000 [1 per cell]

Calculated values
* total moment: 0.00 Bohr magnetons per cell



Need the numbers? Relative energies in kJ/mol of atoms: (P) 87.7; (Q) 0.0.



(P)
Below is AlCd2H2 after structural relaxation, with properties calculated at the PBE level.

Cell: 5.472 5.472 5.160 Å, 90.00 90.00 90.00°
Space group P4/mbm (No. 127)
One atom of each set of equivalent atoms:
Al 0.000 0.000 0.000 [2 per cell]
Cd 0.183 0.317 0.500 [4 per cell]
H 0.226 0.274 0.000 [4 per cell]

Calculated values
* total moment: 0.00 Bohr magnetons per cell



(Q)
Below is AlCd2H2 after structural relaxation, with properties calculated at the PBE level.

Cell: 4.863 4.863 6.540 Å, 90.00 90.00 90.00°
Space group I4/mmm (No. 139)
One atom of each set of equivalent atoms:
Al 0.000 0.000 0.000 [2 per cell]
Cd 0.000 0.500 0.250 [4 per cell]
H 0.000 0.000 0.441 [4 per cell]

Calculated values
* total moment: 0.00 Bohr magnetons per cell



Need the numbers? Relative energies in kJ/mol of atoms: (P) 5.9; (Q) 0.0.